# 1
PBE Mg7SnPd2, relaxed; calculated total energy = -2.73 eV per atom; calculated formation energy = -0.18 eV per atom
1.0
4.861 0.000 0.000
0.000 7.604 0.035
0.000 -3.323 6.839
Mg Pd Sn
7 2 1
Direct
0.500 0.681 0.939
0.500 0.500 0.500
0.500 0.319 0.061
0.500 0.061 0.319
0.000 0.252 0.748
0.000 0.748 0.252
0.500 0.939 0.681
0.500 0.300 0.700
0.500 0.700 0.300
0.000 0.000 0.000

---

# 2
PBE ZnCd2Ru, relaxed; calculated total energy = -2.85 eV per atom; calculated formation energy = 0.24 eV per atom
1.0
2.937 0.000 0.000
0.000 4.179 0.000
0.000 0.000 5.706
Ru Cd Zn
1 2 1
Direct
0.500 0.500 0.250
0.000 0.000 0.006
0.000 0.000 0.494
0.500 0.500 0.750